Computed, not measured: a geometry-optimized ScMnPCl2 structure at the PBE level of DFT.

Unit cell a=4.7910 b=4.7910 c=5.3800 alpha=90.00 beta=90.00 gamma=90.00
Last column: nearest neighbours and their distance in Å.
Element x y z (fractional)
1 Cl 0.5000 0.0000 0.0000  2 Sc 2.40
2 Cl 0.0000 0.5000 0.0000  2 Sc 2.40
3 Sc 0.0000 0.0000 0.0000  4 Cl 2.40
4 Mn 0.5000 0.5000 0.5000  4 P 3.39, 8 Cl 3.60
5 P 0.0000 0.0000 0.5000  2 Sc 2.69

Distance to the lowest polymorph of the same formula, meV per atom: 0
Magnetic moment, μB per atom: 1.00
Density, Mg/m³: 2.71
SG: P4/mmm (123)